1.
# PBE RbNaSe2Br, relaxed
data_RbNaSe2Br
_cell_length_a 5.560
_cell_length_b 5.560
_cell_length_c 5.772
_cell_angle_alpha 90.00
_cell_angle_beta 90.00
_cell_angle_gamma 90.00
_space_group_name_H-M_alt 'P 4/m m m'
_space_group_IT_number 123
_space_group_name_Hall '-P 4 2'
loop_
_atom_site_label
_atom_site_fract_x
_atom_site_fract_y
_atom_site_fract_z
_atom_site_occupancy
Rb1 0.000 0.000 0.000 1
Na1 0.500 0.500 0.500 1
Se1 0.000 0.500 0.500 1
Br1 0.500 0.500 0.000 1
# formation energy without anion corrections = -0.394 eV/atom
# D(E_F) = 4.186 states/eV/f.u.
# crystal system = tetragonal

=====

2.
# PBE Ce7Pb4N4, relaxed
data_Ce7Pb4N4
_cell_length_a 15.087
_cell_length_b 15.087
_cell_length_c 6.333
_cell_angle_alpha 90.00
_cell_angle_beta 90.00
_cell_angle_gamma 90.00
_space_group_name_H-M_alt 'I 4/m m m'
_space_group_IT_number 139
_space_group_name_Hall '-I 4 2'
loop_
_atom_site_label
_atom_site_fract_x
_atom_site_fract_y
_atom_site_fract_z
_atom_site_occupancy
Ce1 0.000 0.000 0.214 1
Ce2 0.000 0.308 0.000 1
Ce3 0.000 0.379 0.500 1
Ce4 0.211 0.211 0.500 1
Pb1 0.000 0.175 0.500 1
Pb2 0.139 0.139 0.000 1
N1 0.109 0.391 0.250 1
# formation energy without anion corrections = -0.593 eV/atom
# D(E_F) = 26.580 states/eV/f.u.
# crystal system = tetragonal

=====

3.
# PBE UInGe2, relaxed
data_UInGe2
_cell_length_a 4.547
_cell_length_b 4.547
_cell_length_c 3.989
_cell_angle_alpha 90.00
_cell_angle_beta 90.00
_cell_angle_gamma 90.00
_space_group_name_H-M_alt 'P 4/m m m'
_space_group_IT_number 123
_space_group_name_Hall '-P 4 2'
loop_
_atom_site_label
_atom_site_fract_x
_atom_site_fract_y
_atom_site_fract_z
_atom_site_occupancy
U1 0.000 0.000 0.000 1
In1 0.500 0.500 0.000 1
Ge1 0.000 0.500 0.500 1
# energy relative to the elements = -0.1955 eV per atom
# D(E_F) = 5.534 states/eV/f.u.
# crystal system = tetragonal

=====

4.
# PBE CeHf2Tl, relaxed
data_CeHf2Tl
_cell_length_a 4.668
_cell_length_b 4.668
_cell_length_c 4.355
_cell_angle_alpha 90.00
_cell_angle_beta 90.00
_cell_angle_gamma 90.00
_space_group_name_H-M_alt 'P 4/m m m'
_space_group_IT_number 123
_space_group_name_Hall '-P 4 2'
loop_
_atom_site_label
_atom_site_fract_x
_atom_site_fract_y
_atom_site_fract_z
_atom_site_occupancy
Ce1 0.000 0.000 0.000 1
Hf1 0.000 0.500 0.500 1
Tl1 0.500 0.500 0.000 1
# energy relative to the elements = 0.0746 eV per atom
# D(E_F) = 6.328 states/eV/f.u.
# crystal system = tetragonal

=====

5.
# PBE Sr2Tl2Hg3, relaxed
data_Sr2Tl2Hg3
_cell_length_a 11.962
_cell_length_b 5.030
_cell_length_c 7.566
_cell_angle_alpha 90.00
_cell_angle_beta 109.86
_cell_angle_gamma 90.00
_space_group_name_H-M_alt 'C 1 2/m 1'
_space_group_IT_number 12
loop_
_space_group_symop_operation_xyz
'x,y,z'
'-x,-y,-z'
'-x,y,-z'
'x,-y,z'
'x+1/2,y+1/2,z'
'-x+1/2,-y+1/2,-z'
'-x+1/2,y+1/2,-z'
'x+1/2,-y+1/2,z'
loop_
_atom_site_label
_atom_site_fract_x
_atom_site_fract_y
_atom_site_fract_z
_atom_site_occupancy
Sr1 0.141 0.000 0.255 1
Tl1 0.154 0.000 0.727 1
Hg1 0.000 0.500 0.500 1
Hg2 0.101 0.500 0.930 1
# energy relative to the elements = -0.3359 eV per atom
# D(E_F) = 3.856 states/eV/f.u.
# crystal system = monoclinic

=====

6.
# PBE Ti2SnMoN, relaxed
data_Ti2SnMoN
_cell_length_a 4.202
_cell_length_b 4.202
_cell_length_c 4.194
_cell_angle_alpha 90.00
_cell_angle_beta 90.00
_cell_angle_gamma 90.00
_space_group_name_H-M_alt 'P 4/m m m'
_space_group_IT_number 123
_space_group_name_Hall '-P 4 2'
loop_
_atom_site_label
_atom_site_fract_x
_atom_site_fract_y
_atom_site_fract_z
_atom_site_occupancy
Ti1 0.000 0.500 0.000 1
Sn1 0.000 0.000 0.500 1
Mo1 0.500 0.500 0.500 1
N1 0.500 0.500 0.000 1
# formation energy without anion corrections = -0.625 eV/atom
# D(E_F) = 6.914 states/eV/f.u.
# crystal system = tetragonal

=====

7.
# PBE Pm6Er3Sc, relaxed
data_Pm6Er3Sc
_cell_length_a 11.015
_cell_length_b 19.139
_cell_length_c 6.202
_cell_angle_alpha 90.00
_cell_angle_beta 90.00
_cell_angle_gamma 90.00
_space_group_name_H-M_alt 'C m c 21'
_space_group_IT_number 36
loop_
_space_group_symop_operation_xyz
'x,y,z'
'-x,-y,z+1/2'
'-x,y,z'
'x,-y,z+1/2'
'x+1/2,y+1/2,z'
'-x+1/2,-y+1/2,z+1/2'
'-x+1/2,y+1/2,z'
'x+1/2,-y+1/2,z+1/2'
loop_
_atom_site_label
_atom_site_fract_x
_atom_site_fract_y
_atom_site_fract_z
_atom_site_occupancy
Pm1 0.000 0.045 0.000 1
Pm2 0.000 0.276 0.274 1
Pm3 0.166 0.455 0.387 1
Pm4 0.232 0.288 0.577 1
Er1 0.000 0.386 0.857 1
Er2 0.163 0.111 0.464 1
Sc1 0.000 0.201 0.805 1
# energy relative to the elements = 0.1385 eV per atom
# D(E_F) = 13.223 states/eV/f.u.
# crystal system = orthorhombic

=====

8.
# PBE La8CuRu2, relaxed
data_La8CuRu2
_cell_length_a 8.211
_cell_length_b 13.515
_cell_length_c 6.569
_cell_angle_alpha 90.00
_cell_angle_beta 111.19
_cell_angle_gamma 90.00
_space_group_name_H-M_alt 'C 1 m 1'
_space_group_IT_number 8
loop_
_space_group_symop_operation_xyz
'x,y,z'
'x,-y,z'
'x+1/2,y+1/2,z'
'x+1/2,-y+1/2,z'
loop_
_atom_site_label
_atom_site_fract_x
_atom_site_fract_y
_atom_site_fract_z
_atom_site_occupancy
La1 0.000 0.000 0.000 1
La2 0.077 0.365 0.809 1
La3 0.128 0.135 0.589 1
La4 0.199 0.500 0.394 1
La5 0.338 0.209 0.205 1
Cu1 0.351 0.000 0.411 1
Ru1 0.357 0.310 0.695 1
# energy relative to the elements = -0.1084 eV per atom
# D(E_F) = 11.663 states/eV/f.u.
# crystal system = monoclinic

=====

> What is the formula in the third record?

UInGe2